Version i
The following is a DFT calculation (PBE-GGA) of a relaxed structure of Pm2MgPa.

Unit cell a=5.7448 b=5.7448 c=3.4582 alpha=90.00 beta=90.00 gamma=90.00
Closest atoms and distances in Å follow each position.
Space group P4/mmm (No. 123)
Inequivalent atoms, fractional coordinates:
Pm 0.0000 0.5000 0.0000 [2 per cell]  4 Pa 3.35, 4 Mg 3.35, 2 Pm 3.46
Mg 0.0000 0.0000 0.5000 [1 per cell]  8 Pm 3.35, 2 Mg 3.46
Pa 0.5000 0.5000 0.5000 [1 per cell]  8 Pm 3.35, 2 Pa 3.46

Size of the total moment ... 0.2 μB per formula unit
Volume ... 28.532 Å³/atom

***

Version ii
The following is a DFT calculation (PBE-GGA) of a relaxed structure of Pm2MgPa.

Unit cell a=3.4258 b=3.4258 c=9.8338 alpha=90.00 beta=90.00 gamma=90.00
Closest atoms and distances in Å follow each position.
Space group P4/mmm (No. 123)
Inequivalent atoms, fractional coordinates:
Pm 0.0000 0.0000 0.2484 [2 per cell]  4 Pm 3.43, 4 Pa 3.44, 4 Mg 3.46
Mg 0.5000 0.5000 0.5000 [1 per cell]  4 Mg 3.43, 8 Pm 3.46
Pa 0.5000 0.5000 0.0000 [1 per cell]  4 Pa 3.43, 8 Pm 3.44

Size of the total moment ... 0.0 μB per formula unit
Volume ... 28.853 Å³/atom

***

Which of them is most stable? Easy: version ii.

***

Version i
The following is a DFT calculation (PBE-GGA) of a relaxed structure of Pm2MgPa.

Unit cell a=3.2726 b=3.2726 c=37.1840 alpha=90.00 beta=90.00 gamma=120.00
Closest atoms and distances in Å follow each position.
Space group R-3m (No. 166, hexagonal axes)
Inequivalent atoms, fractional coordinates:
Pm 0.0000 0.0000 0.0872 [6 per cell]  1 Pa 3.24, 6 Pm 3.27, 3 Mg 3.51
Mg 0.0000 0.0000 0.5000 [3 per cell]  6 Mg 3.27, 6 Pm 3.51
Pa 0.0000 0.0000 0.0000 [3 per cell]  2 Pm 3.24, 6 Pa 3.27

Size of the total moment ... 0.0 μB per formula unit
Volume ... 28.740 Å³/atom

***

Version ii
The following is a DFT calculation (PBE-GGA) of a relaxed structure of Pm2MgPa.

Unit cell a=7.7312 b=7.7312 c=7.7312 alpha=90.00 beta=90.00 gamma=90.00
Closest atoms and distances in Å follow each position.
Space group Fm-3m (No. 225)
Inequivalent atoms, fractional coordinates:
Pm 0.2500 0.2500 0.2500 [8 per cell]  4 Pa 3.35, 4 Mg 3.35
Mg 0.0000 0.0000 0.0000 [4 per cell]  8 Pm 3.35
Pa 0.0000 0.0000 0.5000 [4 per cell]  8 Pm 3.35

Size of the total moment ... 0.0 μB per formula unit
Volume ... 28.881 Å³/atom

***

Which of them is most stable? Easy: version i.